Computed, not measured: Pa3BeCo9Si2 after structural relaxation at the PBE-GGA level of DFT.

Energy, eV per atom: -7.33
Formation energy without anion corrections, eV per formula unit: -2.89
Calculated volume, Å³/f.u.: 214.4
Total magnetic moment, μB per atom: 0.000

a b c (Å): 6.2499 6.2499 6.3368
angles (deg): 90.00 90.00 120.00
With the nearest neighbours (Å) after each atom.
Fractional positions:
Pa  0.0000  0.0000  0.0000  6 Co 2.54
Pa  0.3333  0.6667  0.6759  3 Co 2.73, 1 Si 2.97
Pa  0.6667  0.3333  0.3241  3 Co 2.73, 1 Si 2.97
Be  0.0000  0.0000  0.5000  6 Co 1.96
Co  0.0000  0.5000  0.0000  2 Si 2.23
Co  0.1452  0.2905  0.3149  1 Be 1.96, 1 Si 2.15
Co  0.1452  0.8548  0.3149  1 Be 1.96, 1 Si 2.15
Co  0.2905  0.1452  0.6851  1 Be 1.96, 1 Si 2.15
Co  0.5000  0.0000  0.0000  2 Si 2.23
Co  0.5000  0.5000  0.0000  2 Si 2.23
Co  0.7095  0.8548  0.3149  1 Be 1.96, 1 Si 2.15
Co  0.8548  0.1452  0.6851  1 Be 1.96, 1 Si 2.15
Co  0.8548  0.7095  0.6851  1 Be 1.96, 1 Si 2.15
Si  0.3333  0.6667  0.2079  6 Co 2.15-2.23
Si  0.6667  0.3333  0.7921  6 Co 2.15-2.23